No. 1
Compound: CoSn3Se
Source: Alexandria via LeMat-Bulk
Functional: GGA-PBE
Structure: relaxed

Output
The density of states at the Fermi level is 3.31 states/eV/cell. The value obtained for the polymorph energy (0 for the lowest one) is 0 meV per atom. As for the crystal system: cubic. The calculation puts the uncorrected formation energy at -101 meV per atom. For the calculated volume, the calculation gives 23.9 Å³/atom.

```
data_CoSn3Se
_cell_length_a 4.925
_cell_length_b 4.925
_cell_length_c 4.925
_cell_angle_alpha 90.00
_cell_angle_beta 90.00
_cell_angle_gamma 90.00
_symmetry_space_group_name_H-M 'P m -3 m'
_symmetry_Int_Tables_number 221
_symmetry_space_group_name_Hall '-P 4 2 3'
loop_
_atom_site_label
_atom_site_type_symbol
_atom_site_fract_x
_atom_site_fract_y
_atom_site_fract_z
Co1 Co 0.000 0.000 0.000
Sn1 Sn 0.000 0.000 0.500
Se1 Se 0.500 0.500 0.500
```

=====

No. 2
Compound: CaCo2Ir
Source: Alexandria via LeMat-Bulk
Functional: GGA-PBE
Structure: relaxed

Output
The density of states at the Fermi level is 2.99 states/eV/cell. As for the crystal system: tetragonal. The calculation puts the total energy at -24.0 eV per formula unit. For the calculated volume, the calculation gives 14.8 Å³/atom.

```
data_CaCo2Ir
_cell_length_a 4.464
_cell_length_b 4.464
_cell_length_c 2.965
_cell_angle_alpha 90.00
_cell_angle_beta 90.00
_cell_angle_gamma 90.00
_symmetry_space_group_name_H-M 'P 4/m m m'
_symmetry_Int_Tables_number 123
_symmetry_space_group_name_Hall '-P 4 2'
loop_
_atom_site_label
_atom_site_type_symbol
_atom_site_fract_x
_atom_site_fract_y
_atom_site_fract_z
Ca1 Ca 0.000 0.000 0.000
Co1 Co 0.000 0.500 0.500
Ir1 Ir 0.500 0.500 0.000
```

=====

No. 3
Compound: TbDyPdPt
Source: Alexandria via LeMat-Bulk
Functional: GGA-PBE
Structure: relaxed

Output
The density of states at the Fermi level is 15.35 states/eV/cell. The value obtained for the polymorph energy (0 for the lowest one) is 47 meV per atom. As for the crystal system: cubic. For the calculated volume, the calculation gives 21.6 Å³/atom.

```
data_TbDyPdPt
_cell_length_a 7.017
_cell_length_b 7.017
_cell_length_c 7.017
_cell_angle_alpha 90.00
_cell_angle_beta 90.00
_cell_angle_gamma 90.00
_symmetry_space_group_name_H-M 'F -4 3 m'
_symmetry_Int_Tables_number 216
_symmetry_space_group_name_Hall 'F -4 2 3'
loop_
_atom_site_label
_atom_site_type_symbol
_atom_site_fract_x
_atom_site_fract_y
_atom_site_fract_z
Tb1 Tb 0.000 0.000 0.000
Dy1 Dy 0.000 0.000 0.500
Pd1 Pd 0.250 0.250 0.750
Pt1 Pt 0.250 0.250 0.250
```

=====

No. 4
Compound: BiW
Source: Alexandria via LeMat-Bulk
Functional: GGA-PBE
Structure: relaxed

Output
The density of states at the Fermi level is 17.80 states/eV/cell. The value obtained for the polymorph energy (0 for the lowest one) is 579 meV per atom. As for the crystal system: orthorhombic. For the calculated volume, the calculation gives 26.3 Å³/atom.

```
data_BiW
_cell_length_a 8.843
_cell_length_b 9.633
_cell_length_c 9.891
_cell_angle_alpha 90.00
_cell_angle_beta 90.00
_cell_angle_gamma 90.00
_symmetry_space_group_name_H-M 'F d d d'
_symmetry_Int_Tables_number 70
loop_
_symmetry_equiv_pos_as_xyz
'x,y,z'
'-x,-y,-z'
'-x+1/4,-y+1/4,z'
'x+1/4,y+1/4,-z'
'x,-y+1/4,-z+1/4'
'-x,y+1/4,z+1/4'
'-x+1/4,y,-z+1/4'
'x+1/4,-y,z+1/4'
'x,y+1/2,z+1/2'
'-x,-y+1/2,-z+1/2'
'-x+1/4,-y+3/4,z+1/2'
'x+1/4,y+3/4,-z+1/2'
'x,-y+3/4,-z+3/4'
'-x,y+3/4,z+3/4'
'-x+1/4,y+1/2,-z+3/4'
'x+1/4,-y+1/2,z+3/4'
'x+1/2,y,z+1/2'
'-x+1/2,-y,-z+1/2'
'-x+3/4,-y+1/4,z+1/2'
'x+3/4,y+1/4,-z+1/2'
'x+1/2,-y+1/4,-z+3/4'
'-x+1/2,y+1/4,z+3/4'
'-x+3/4,y,-z+3/4'
'x+3/4,-y,z+3/4'
'x+1/2,y+1/2,z'
'-x+1/2,-y+1/2,-z'
'-x+3/4,-y+3/4,z'
'x+3/4,y+3/4,-z'
'x+1/2,-y+3/4,-z+1/4'
'-x+1/2,y+3/4,z+1/4'
'-x+3/4,y+1/2,-z+1/4'
'x+3/4,-y+1/2,z+1/4'
loop_
_atom_site_label
_atom_site_type_symbol
_atom_site_fract_x
_atom_site_fract_y
_atom_site_fract_z
Bi1 Bi 0.071 0.375 0.375
W1 W 0.125 0.125 0.506
```

=====

No. 5
Compound: KSb2Se2
Source: Alexandria via LeMat-Bulk
Functional: GGA-PBE
Structure: relaxed

Output
The density of states at the Fermi level is 5.04 states/eV/cell. The value obtained for the polymorph energy (0 for the lowest one) is 0 meV per atom. As for the crystal system: tetragonal. The calculation puts the uncorrected formation energy at -294 meV per atom. For the calculated volume, the calculation gives 31.6 Å³/atom.

```
data_KSb2Se2
_cell_length_a 5.703
_cell_length_b 5.703
_cell_length_c 9.708
_cell_angle_alpha 90.00
_cell_angle_beta 90.00
_cell_angle_gamma 90.00
_symmetry_space_group_name_H-M 'I 4/m m m'
_symmetry_Int_Tables_number 139
_symmetry_space_group_name_Hall '-I 4 2'
loop_
_atom_site_label
_atom_site_type_symbol
_atom_site_fract_x
_atom_site_fract_y
_atom_site_fract_z
K1 K 0.000 0.000 0.000
Sb1 Sb 0.000 0.000 0.344
Se1 Se 0.000 0.500 0.250
```

=====

No. 6
Compound: LaSc2Be
Source: Alexandria via LeMat-Bulk
Functional: GGA-PBE
Structure: relaxed

Output
The density of states at the Fermi level is 9.92 states/eV/cell. As for the crystal system: trigonal. The calculation puts the total energy at -20.5 eV per formula unit. For the calculated volume, the calculation gives 23.8 Å³/atom.

```
data_LaSc2Be
_cell_length_a 3.4025
_cell_length_b 3.4025
_cell_length_c 28.5321
_cell_angle_alpha 90.00
_cell_angle_beta 90.00
_cell_angle_gamma 120.00
_symmetry_space_group_name_H-M 'R -3 m'
_symmetry_Int_Tables_number 166
_symmetry_space_group_name_Hall '-R 3 2"'
loop_
_atom_site_label
_atom_site_type_symbol
_atom_site_fract_x
_atom_site_fract_y
_atom_site_fract_z
La1 La 0.0000 0.0000 0.0000
Sc1 Sc 0.0000 0.0000 0.2303
Be1 Be 0.0000 0.0000 0.5000
```

=====

No. 7
Compound: La5SmYTm2
Source: Alexandria via LeMat-Bulk
Functional: GGA-PBE
Structure: relaxed

Output
The density of states at the Fermi level is 55.90 states/eV/cell. As for the crystal system: orthorhombic. The calculation puts the total energy at -43.6 eV per formula unit. For the calculated volume, the calculation gives 35.4 Å³/atom.

```
data_La5SmYTm2
_cell_length_a 5.493
_cell_length_b 21.729
_cell_length_c 10.681
_cell_angle_alpha 90.00
_cell_angle_beta 90.00
_cell_angle_gamma 90.00
_symmetry_space_group_name_H-M 'C m c m'
_symmetry_Int_Tables_number 63
_symmetry_space_group_name_Hall '-C 2c 2'
loop_
_atom_site_label
_atom_site_type_symbol
_atom_site_fract_x
_atom_site_fract_y
_atom_site_fract_z
La1 La 0.000 0.000 0.000
La2 La 0.000 0.123 0.250
La3 La 0.000 0.221 0.560
La4 La 0.000 0.499 0.750
Sm1 Sm 0.000 0.286 0.250
Y1 Y 0.000 0.100 0.750
Tm1 Tm 0.000 0.387 0.003
```

=====

No. 8
Compound: DyBeCu2
Source: Alexandria via LeMat-Bulk
Functional: GGA-PBE
Structure: relaxed

Output
The density of states at the Fermi level is 8.05 states/eV/cell. As for the crystal system: trigonal. The calculation puts the total energy at -17.1 eV per formula unit. For the calculated volume, the calculation gives 16.2 Å³/atom.

```
data_DyBeCu2
_cell_length_a 4.0120
_cell_length_b 4.0120
_cell_length_c 13.9357
_cell_angle_alpha 90.00
_cell_angle_beta 90.00
_cell_angle_gamma 120.00
_symmetry_space_group_name_H-M 'R -3 m'
_symmetry_Int_Tables_number 166
_symmetry_space_group_name_Hall '-R 3 2"'
loop_
_atom_site_label
_atom_site_type_symbol
_atom_site_fract_x
_atom_site_fract_y
_atom_site_fract_z
Dy1 Dy 0.0000 0.0000 0.0000
Be1 Be 0.0000 0.0000 0.5000
Cu1 Cu 0.0000 0.0000 0.2006
```